{"formula": "CsGaHg2As", "functional": "PBE-GGA", "state": "relaxed", "lattice_angstrom": [[6.811, 0.000, 0.000], [0.000, 6.811, 0.000], [0.000, 0.000, 6.852]], "species": ["Cs", "Ga", "Hg", "Hg", "As"], "fractional_positions": [[0.000, 0.000, 0.000], [0.000, 0.000, 0.500], [0.000, 0.500, 0.000], [0.500, 0.000, 0.000], [0.500, 0.500, 0.500]], "m_tot_mub_per_atom": 0.200, "ef_ev_per_atom": 0.90, "spacegroup": "P4/mmm", "rho_g_cm3": 3.5, "polymorph_energy_ev_per_atom": 0.977, "n_ef_per_ev_fu": 4.45}

=====

{"formula": "ScTa2Cu", "functional": "PBE-GGA", "state": "relaxed", "lattice_angstrom": [[4.805, 0.000, 0.000], [0.000, 4.805, 0.000], [0.000, 0.000, 3.023]], "species": ["Sc", "Ta", "Ta", "Cu"], "fractional_positions": [[0.000, 0.000, 0.000], [0.000, 0.500, 0.500], [0.500, 0.000, 0.500], [0.500, 0.500, 0.000]], "m_tot_mub_per_atom": 0.000, "ef_ev_per_atom": 0.42, "spacegroup": "P4/mmm", "rho_g_cm3": 11.2, "polymorph_energy_ev_per_atom": 0.352, "n_ef_per_ev_fu": 4.25}

=====

{"formula": "Ac3Sn2Pd6Au", "functional": "PBE-GGA", "state": "relaxed", "lattice_angstrom": [[5.975, 0.000, 0.000], [-2.987, 5.174, 0.000], [0.000, 0.000, 9.197]], "species": ["Ac", "Ac", "Ac", "Sn", "Sn", "Pd", "Pd", "Pd", "Pd", "Pd", "Pd", "Au"], "fractional_positions": [[0.000, 0.000, 0.000], [0.333, 0.667, 0.624], [0.667, 0.333, 0.376], [0.333, 0.667, 0.032], [0.667, 0.333, 0.968], [0.174, 0.348, 0.277], [0.174, 0.826, 0.277], [0.348, 0.174, 0.723], [0.652, 0.826, 0.277], [0.826, 0.174, 0.723], [0.826, 0.652, 0.723], [0.000, 0.000, 0.500]], "m_tot_mub_per_atom": 0.000, "ef_ev_per_atom": -0.69, "spacegroup": "P-3m1", "rho_g_cm3": 10.2, "n_ef_per_ev_fu": 7.37}

=====

{"formula": "Nb2ReBr", "functional": "PBE-GGA", "state": "relaxed", "lattice_angstrom": [[-2.616, 2.616, 7.048], [2.616, -2.616, 7.048], [2.616, 2.616, -7.048]], "species": ["Nb", "Nb", "Nb", "Nb", "Re", "Re", "Br", "Br"], "fractional_positions": [[0.105, 0.625, 0.980], [0.375, 0.355, 0.480], [0.645, 0.125, 0.020], [0.875, 0.895, 0.520], [0.000, 0.000, 0.000], [0.750, 0.250, 0.500], [0.250, 0.750, 0.500], [0.500, 0.500, 0.000]], "raw_formation_energy_ev_per_atom": 1.099, "m_tot_mub_per_atom": 0.000, "spacegroup": "I-42d", "rho_g_cm3": 7.8, "polymorph_energy_ev_per_atom": 0.431, "n_ef_per_ev_fu": 6.05}

=====

{"formula": "PrNbPt", "functional": "PBE-GGA", "state": "relaxed", "lattice_angstrom": [[2.530, -2.539, 0.000], [2.530, 2.539, 0.000], [0.000, 0.000, 10.581]], "species": ["Pr", "Pr", "Nb", "Nb", "Pt", "Pt"], "fractional_positions": [[0.000, 0.000, 0.170], [0.000, 0.000, 0.830], [0.500, 0.500, 0.385], [0.500, 0.500, 0.615], [0.000, 0.000, 0.500], [0.500, 0.500, 0.000]], "m_tot_mub_per_atom": 0.000, "ef_ev_per_atom": -0.30, "spacegroup": "Cmmm", "rho_g_cm3": 10.5, "n_ef_per_ev_fu": 3.95}

=====

Repeat the fourth record exactly.
{"formula": "Nb2ReBr", "functional": "PBE-GGA", "state": "relaxed", "lattice_angstrom": [[-2.616, 2.616, 7.048], [2.616, -2.616, 7.048], [2.616, 2.616, -7.048]], "species": ["Nb", "Nb", "Nb", "Nb", "Re", "Re", "Br", "Br"], "fractional_positions": [[0.105, 0.625, 0.980], [0.375, 0.355, 0.480], [0.645, 0.125, 0.020], [0.875, 0.895, 0.520], [0.000, 0.000, 0.000], [0.750, 0.250, 0.500], [0.250, 0.750, 0.500], [0.500, 0.500, 0.000]], "raw_formation_energy_ev_per_atom": 1.099, "m_tot_mub_per_atom": 0.000, "spacegroup": "I-42d", "rho_g_cm3": 7.8, "polymorph_energy_ev_per_atom": 0.431, "n_ef_per_ev_fu": 6.05}